Compound: Na3Al2FeO6
Source: the Alexandria database
Functional: PBE+U
Structure: relaxed

Results
Calculated total energy: -143.9 eV for the cell shown

Cell lengths 5.056, 8.756, 5.600 Å; angles 90.00, 107.51, 90.00 degrees
Space group C2/m (No. 12)
One atom of each set of equivalent atoms:
Na: 0.000 0.000 0.000 (multiplicity 2)
Na: 0.000 0.335 0.000 (multiplicity 4)
Al: 0.000 0.167 0.500 (multiplicity 4)
Fe: 0.000 0.500 0.500 (multiplicity 2)
O: 0.223 0.000 0.690 (multiplicity 4)
O: 0.233 0.330 0.690 (multiplicity 8)